# 1
This record from Alexandria describes a geometry-optimized Sm2TmS2O2 structure. The functional is PBE.

The calculation puts the uncorrected formation energy at -2.48 eV per atom. For the density of states at the Fermi level, the calculation gives 2.21 states/eV per cell. For the density, the calculation gives 7.13 Mg/m³.

a b c (Å): 4.2143 4.2143 7.9948
angles (deg): 105.28 105.28 90.00
Last column: nearest neighbours and their distance in Å.
Fractional positions:
S1 0.8211 0.8211 0.6422  1 Tm 2.65, 1 Sm 2.79
S2 0.1789 0.1789 0.3578  1 Tm 2.65, 1 Sm 2.79
Sm1 0.3669 0.3669 0.7337  5 S 2.79-3.06, 4 O 2.89
O1 0.5000 0.0000 0.0000  2 Tm 2.11
Sm2 0.6331 0.6331 0.2663  5 S 2.79-3.06, 4 O 2.89
Tm1 0.0000 0.0000 0.0000  4 O 2.11
O2 0.0000 0.5000 0.0000  2 Tm 2.11

=====

# 2
This record from Alexandria describes a geometry-optimized Th5Cd4Hg4 structure. The functional is PBE.

For the density of states at the Fermi level, the calculation gives 14.59 states/eV per cell. The calculated formation energy comes out at -0.14 eV per atom. For the density, the calculation gives 11.40 Mg/m³.

a b c (Å): 4.5617 9.0668 9.0668
angles (deg): 86.37 75.43 75.43
Last column: nearest neighbours and their distance in Å.
Fractional positions:
Cd1 0.5806 0.3176 0.5211  3 Hg 2.92-2.97, 5 Cd 3.22
Th1 0.6326 0.6620 0.0729  5 Hg 3.25-3.32, 3 Cd 3.52-3.57
Cd2 0.8983 0.5211 0.6824  3 Hg 2.92-2.97, 5 Cd 3.22
Cd3 0.1017 0.4789 0.3176  3 Hg 2.92-2.97, 5 Cd 3.22
Hg1 0.0579 0.1887 0.6956  3 Cd 2.92-2.97, 3 Th 3.14-3.25
Th2 0.0000 0.0000 0.0000  4 Hg 3.14
Hg2 0.2465 0.6956 0.8113  3 Cd 2.92-2.97, 3 Th 3.14-3.25
Hg3 0.7535 0.3044 0.1887  3 Cd 2.92-2.97, 3 Th 3.14-3.25
Th3 0.2945 0.0729 0.3380  5 Hg 3.25-3.32, 3 Cd 3.52-3.57
Cd4 0.4194 0.6824 0.4789  3 Hg 2.92-2.97, 5 Cd 3.22
Th4 0.3674 0.3380 0.9271  5 Hg 3.25-3.32, 3 Cd 3.52-3.57
Th5 0.7055 0.9271 0.6620  5 Hg 3.25-3.32, 3 Cd 3.52-3.57
Hg4 0.9421 0.8113 0.3044  3 Cd 2.92-2.97, 3 Th 3.14-3.25

=====

# 3
This record from Alexandria describes a geometry-optimized Sm4Y5Mg structure. The functional is PBE.

The energy above the most stable polymorph in this dataset is 194 meV/atom. For the density of states at the Fermi level, the calculation gives 12.65 states/eV per cell. The calculated formation energy comes out at 0.19 eV per atom. For the density, the calculation gives 5.33 Mg/m³.

a b c (Å): 5.7938 8.1234 8.1234
angles (deg): 82.69 69.11 69.11
Last column: nearest neighbours and their distance in Å.
Fractional positions:
Y1 0.1403 0.0000 0.6297  1 Mg 3.10, 1 Y 3.29, 2 Sm 3.38
Y2 0.7701 0.0000 0.3703  1 Mg 3.10, 1 Y 3.29, 2 Sm 3.38
Sm1 0.4627 0.6794 0.3206  5 Y 3.38-3.77
Y3 0.7701 0.3703 0.0000  1 Mg 3.10, 1 Y 3.29, 2 Sm 3.38
Y4 0.6589 0.0000 0.0000  2 Mg 2.78-3.02
Sm2 0.1421 0.3206 0.3206  5 Y 3.38-3.77
Y5 0.1404 0.6297 0.0000  1 Mg 3.10, 1 Y 3.29, 2 Sm 3.38
Sm3 0.7833 0.6794 0.6794  5 Y 3.38-3.77
Mg1 0.1797 0.0000 0.0000  6 Y 2.78-3.10
Sm4 0.4627 0.3206 0.6794  5 Y 3.38-3.77

=====

# 4
This record from Alexandria describes a geometry-optimized Na2LiMg2Pb5 structure. The functional is PBE.

For the density of states at the Fermi level, the calculation gives 7.17 states/eV per cell. The calculated formation energy comes out at -0.10 eV per atom. For the density, the calculation gives 6.67 Mg/m³.

a b c (Å): 4.3848 11.3641 11.3641
angles (deg): 90.00 90.00 90.00
Last column: nearest neighbours and their distance in Å.
Fractional positions:
Pb1 0.5000 0.5636 0.6965  2 Mg 3.06, 2 Li 3.21, 2 Pb 3.32
Pb2 0.5000 0.9364 0.1965  2 Mg 3.06, 2 Li 3.21, 2 Pb 3.32
Pb3 0.5000 0.5000 0.0000  4 Mg 2.99
Mg1 0.0000 0.1266 0.6266  6 Pb 2.99-3.06, 1 Na 3.22
Mg2 0.0000 0.3734 0.1266  6 Pb 2.99-3.06, 1 Na 3.22
Pb4 0.5000 0.8035 0.9364  2 Mg 3.06, 2 Li 3.21, 2 Pb 3.32
Li1 0.0000 0.5000 0.5000  8 Pb 3.21
Mg3 0.0000 0.8734 0.3734  6 Pb 2.99-3.06, 1 Na 3.22
Pb5 0.5000 0.6965 0.4364  2 Mg 3.06, 2 Li 3.21, 2 Pb 3.32
Mg4 0.0000 0.6266 0.8734  6 Pb 2.99-3.06, 1 Na 3.22
Li2 0.0000 0.0000 0.0000  8 Pb 3.21
Na1 0.0000 0.6728 0.1728  3 Mg 3.22-3.44, 2 Pb 3.54
Pb6 0.5000 0.1965 0.0636  2 Mg 3.06, 2 Li 3.21, 2 Pb 3.32
Pb7 0.5000 0.4364 0.3035  2 Mg 3.06, 2 Li 3.21, 2 Pb 3.32
Pb8 0.5000 0.0000 0.5000  4 Mg 2.99
Pb9 0.5000 0.0636 0.8035  2 Mg 3.06, 2 Li 3.21, 2 Pb 3.32
Na2 0.0000 0.1728 0.3272  3 Mg 3.22-3.44, 2 Pb 3.54
Na3 0.0000 0.8272 0.6728  3 Mg 3.22-3.44, 2 Pb 3.54
Pb10 0.5000 0.3035 0.5636  2 Mg 3.06, 2 Li 3.21, 2 Pb 3.32
Na4 0.0000 0.3272 0.8272  3 Mg 3.22-3.44, 2 Pb 3.54